No. 1
Below is BeCuRu2 after structural relaxation, with properties calculated at the PBE level.

Output
* uncorrected energy: -25.6 eV per cell

CIF file:
```
data_BeCuRu2
_chemical_formula_sum 'Be1 Cu1 Ru2'
_space_group_name_H-M_alt 'P 1 2/m 1'
_space_group_IT_number 10
_space_group_name_Hall '-P 2y'
_cell_length_a 2.672
_cell_length_b 3.773
_cell_length_c 5.012
_cell_angle_alpha 90.00
_cell_angle_beta 100.17
_cell_angle_gamma 90.00
loop_
_atom_site_label
_atom_site_type_symbol
_atom_site_fract_x
_atom_site_fract_y
_atom_site_fract_z
_atom_site_occupancy
Be1 Be 0.000 0.000 0.000 1
Cu1 Cu 0.000 0.000 0.500 1
Ru1 Ru 0.367 0.500 0.232 1
```

No. 2
Below is TaRe after structural relaxation, with properties calculated at the PBE level.

Output
* uncorrected energy: -96.0 eV per cell

CIF file:
```
data_TaRe
_chemical_formula_sum 'Ta4 Re4'
_space_group_name_H-M_alt 'C m c m'
_space_group_IT_number 63
_space_group_name_Hall '-C 2c 2'
_cell_length_a 3.010
_cell_length_b 10.068
_cell_length_c 4.476
_cell_angle_alpha 90.00
_cell_angle_beta 90.00
_cell_angle_gamma 90.00
loop_
_atom_site_label
_atom_site_type_symbol
_atom_site_fract_x
_atom_site_fract_y
_atom_site_fract_z
_atom_site_occupancy
Ta1 Ta 0.000 0.159 0.250 1
Re1 Re 0.000 0.418 0.250 1
```

No. 3
Below is RuIO3 after structural relaxation, with properties calculated at the PBE level.

Output
* raw formation energy: 0.7520 eV/atom
* uncorrected energy: -21.9 eV per cell

CIF file:
```
data_RuIO3
_chemical_formula_sum 'Ru1 I1 O3'
_space_group_name_H-M_alt 'P m -3 m'
_space_group_IT_number 221
_space_group_name_Hall '-P 4 2 3'
_cell_length_a 4.130
_cell_length_b 4.130
_cell_length_c 4.130
_cell_angle_alpha 90.00
_cell_angle_beta 90.00
_cell_angle_gamma 90.00
loop_
_atom_site_label
_atom_site_type_symbol
_atom_site_fract_x
_atom_site_fract_y
_atom_site_fract_z
_atom_site_occupancy
Ru1 Ru 0.000 0.000 0.000 1
I1 I 0.500 0.500 0.500 1
O1 O 0.000 0.500 0.500 1
```

No. 4
Below is Pr2MgScTe5 after structural relaxation, with properties calculated at the PBE level.

Output
* raw formation energy: -1.2146 eV/atom
* uncorrected energy: -176.5 eV per cell

CIF file:
```
data_Pr2MgScTe5
_chemical_formula_sum 'Pr8 Mg4 Sc4 Te20'
_space_group_name_H-M_alt 'C m c 21'
_space_group_IT_number 36
_space_group_name_Hall 'C 2c -2'
_cell_length_a 4.330
_cell_length_b 19.060
_cell_length_c 13.360
_cell_angle_alpha 90.00
_cell_angle_beta 90.00
_cell_angle_gamma 90.00
loop_
_atom_site_label
_atom_site_type_symbol
_atom_site_fract_x
_atom_site_fract_y
_atom_site_fract_z
_atom_site_occupancy
Pr1 Pr 0.000 0.113 0.000 1
Pr2 Pr 0.000 0.133 0.621 1
Mg1 Mg 0.000 0.437 0.773 1
Sc1 Sc 0.000 0.204 0.332 1
Te1 Te 0.000 0.054 0.393 1
Te2 Te 0.000 0.282 0.981 1
Te3 Te 0.000 0.306 0.671 1
Te4 Te 0.000 0.358 0.316 1
Te5 Te 0.000 0.497 0.096 1
```

No. 5
Below is Pm2BiRh2 after structural relaxation, with properties calculated at the PBE level.

Output
* uncorrected energy: -126.7 eV per cell

CIF file:
```
data_Pm2BiRh2
_chemical_formula_sum 'Pm8 Bi4 Rh8'
_space_group_name_H-M_alt 'C 1 2/c 1'
_space_group_IT_number 15
_space_group_name_Hall '-C 2yc'
_cell_length_a 10.404
_cell_length_b 5.599
_cell_length_c 8.322
_cell_angle_alpha 90.00
_cell_angle_beta 105.78
_cell_angle_gamma 90.00
loop_
_atom_site_label
_atom_site_type_symbol
_atom_site_fract_x
_atom_site_fract_y
_atom_site_fract_z
_atom_site_occupancy
Pm1 Pm 0.149 0.164 0.151 1
Bi1 Bi 0.000 0.320 0.750 1
Rh1 Rh 0.139 0.364 0.497 1
```

No. 6
Below is Zr4CoHg after structural relaxation, with properties calculated at the PBE level.

Output
* uncorrected energy: -154.1 eV per cell

CIF file:
```
data_Zr4CoHg
_chemical_formula_sum 'Zr16 Co4 Hg4'
_space_group_name_H-M_alt 'F -4 3 m'
_space_group_IT_number 216
_space_group_name_Hall 'F -4 2 3'
_cell_length_a 8.001
_cell_length_b 8.001
_cell_length_c 8.001
_cell_angle_alpha 90.00
_cell_angle_beta 90.00
_cell_angle_gamma 90.00
loop_
_atom_site_label
_atom_site_type_symbol
_atom_site_fract_x
_atom_site_fract_y
_atom_site_fract_z
_atom_site_occupancy
Zr1 Zr 0.124 0.124 0.124 1
Co1 Co 0.250 0.250 0.750 1
Hg1 Hg 0.000 0.000 0.500 1
```

No. 7
Below is RbSrN2 after structural relaxation, with properties calculated at the PBE level.

Output
* raw formation energy: 0.8304 eV/atom
* uncorrected energy: -63.9 eV per cell

CIF file:
```
data_RbSrN2
_chemical_formula_sum 'Rb4 Sr4 N8'
_space_group_name_H-M_alt 'F m -3 m'
_space_group_IT_number 225
_space_group_name_Hall '-F 4 2 3'
_cell_length_a 6.755
_cell_length_b 6.755
_cell_length_c 6.755
_cell_angle_alpha 90.00
_cell_angle_beta 90.00
_cell_angle_gamma 90.00
loop_
_atom_site_label
_atom_site_type_symbol
_atom_site_fract_x
_atom_site_fract_y
_atom_site_fract_z
_atom_site_occupancy
Rb1 Rb 0.000 0.000 0.000 1
Sr1 Sr 0.000 0.000 0.500 1
N1 N 0.250 0.250 0.250 1
```

No. 8
Below is Ba7Bi2HO2 after structural relaxation, with properties calculated at the PBE level.

Output
* uncorrected energy: -95.1 eV per cell

CIF file:
```
data_Ba7Bi2HO2
_chemical_formula_sum 'Ba14 Bi4 H2 O4'
_space_group_name_H-M_alt 'C 1 2/m 1'
_space_group_IT_number 12
_space_group_name_Hall '-C 2y'
_cell_length_a 7.823
_cell_length_b 7.827
_cell_length_c 14.652
_cell_angle_alpha 90.00
_cell_angle_beta 105.11
_cell_angle_gamma 90.00
loop_
_atom_site_label
_atom_site_type_symbol
_atom_site_fract_x
_atom_site_fract_y
_atom_site_fract_z
_atom_site_occupancy
Ba1 Ba 0.000 0.000 0.000 1
Ba2 Ba 0.155 0.251 0.813 1
Ba3 Ba 0.197 0.000 0.395 1
Bi1 Bi 0.175 0.500 0.351 1
H1 H 0.000 0.500 0.000 1
O1 O 0.096 0.000 0.190 1
```

What did the second record say?
Below is TaRe after structural relaxation, with properties calculated at the PBE level.

Output
* uncorrected energy: -96.0 eV per cell

CIF file:
```
data_TaRe
_chemical_formula_sum 'Ta4 Re4'
_space_group_name_H-M_alt 'C m c m'
_space_group_IT_number 63
_space_group_name_Hall '-C 2c 2'
_cell_length_a 3.010
_cell_length_b 10.068
_cell_length_c 4.476
_cell_angle_alpha 90.00
_cell_angle_beta 90.00
_cell_angle_gamma 90.00
loop_
_atom_site_label
_atom_site_type_symbol
_atom_site_fract_x
_atom_site_fract_y
_atom_site_fract_z
_atom_site_occupancy
Ta1 Ta 0.000 0.159 0.250 1
Re1 Re 0.000 0.418 0.250 1
```